1.
Density functional theory data (PBE) for crystalline NpPd4Au3 at its relaxed geometry.

a b c (Å): 9.4082 6.1086 4.9198
angles (deg): 90.00 90.00 90.00
With the nearest neighbours (Å) after each atom.
Space group Pmma (No. 51)
Asymmetric unit:
Np1 0.0000 0.0000 0.0000  8 Pd 2.89-2.91, 4 Au 3.05-3.09
Pd1 0.0000 0.2538 0.5000  6 Au 2.85-2.88, 2 Np 2.91, 4 Pd 3.00-3.10
Pd2 0.2500 0.2568 0.1224  6 Au 2.80-3.04, 2 Np 2.89, 3 Pd 2.97-3.00
Au1 0.0000 0.5000 0.0000  8 Pd 2.85-2.88, 2 Au 2.98, 2 Np 3.05
Au2 0.2500 0.0000 0.5938  8 Pd 2.80-3.04, 2 Au 3.06, 2 Np 3.09
Au3 0.2500 0.5000 0.6269  8 Pd 2.85-2.89, 4 Au 2.98-3.06

Properties
Uncorrected energy in eV/atom: -5.6794
Volume in A^3/atom: 17.7
ΔH_f (0 K) in eV per atom: -0.24

2.
Density functional theory data (PBE) for crystalline NpPdAu2 at its relaxed geometry.

a b c (Å): 4.3316 4.3316 4.3180
angles (deg): 90.00 90.00 90.00
With the nearest neighbours (Å) after each atom.
Space group P4/mmm (No. 123)
Asymmetric unit:
Np1 0.0000 0.0000 0.0000  8 Au 3.06, 4 Pd 3.06
Pd1 0.5000 0.5000 0.0000  8 Au 3.06, 4 Np 3.06
Au1 0.0000 0.5000 0.5000  4 Pd 3.06, 4 Np 3.06, 4 Au 3.06

Properties
Uncorrected energy in eV/atom: -6.2624
Volume in A^3/atom: 20.3
ΔH_f (0 K) in eV per atom: -0.09
Offset from the most stable computed form in eV/atom: 0.126

3.
Density functional theory data (PBE) for crystalline NpPd2Au6 at its relaxed geometry.

a b c (Å): 12.9359 4.1451 6.5898
angles (deg): 90.00 109.24 90.00
With the nearest neighbours (Å) after each atom.
Space group C2/m (No. 12)
Asymmetric unit:
Np1 0.0000 0.0000 0.0000  4 Pd 2.89, 8 Au 3.02-3.07
Pd1 0.0492 0.5000 0.3225  2 Np 2.89, 9 Au 2.93-3.09, 1 Pd 3.01
Au1 0.1093 0.0000 0.6554  7 Au 2.89-3.03, 4 Pd 2.93-2.95, 1 Np 3.04
Au2 0.1719 0.5000 0.0106  8 Au 2.92-3.03, 2 Pd 2.98, 2 Np 3.02
Au3 0.2289 0.0000 0.3413  8 Au 2.87-3.00, 3 Pd 2.99-3.09, 1 Np 3.07

Properties
Uncorrected energy in eV/atom: -4.9062
Volume in A^3/atom: 18.5
ΔH_f (0 K) in eV per atom: -0.13

- uncorrected energy of number 2 (NpPdAu2)?
  -6.2624 eV/atom

- The highest ΔH_f (0 K) belongs to which entry?
  NpPdAu2

- What is the uncorrected energy in the third record?
  -4.9062 eV/atom

- The lowest volume belongs to which entry?
  NpPd4Au3